[1]
Density functional theory data (GGA-PBE) for crystalline V3MoS6 at its relaxed geometry.

Results
E_form (uncorrected) (eV per atom): -0.666
Uncorrected energy (eV per atom): -6.96

abc: 9.6487 3.1337 11.8546
angles: 90.00 106.38 90.00
Element x y z (fractional)
1 V 0.0080 0.2500 0.0984
2 V 0.3987 0.7500 0.5595
3 V 0.4305 0.7500 0.0674
4 V 0.5695 0.2500 0.9326
5 V 0.6013 0.2500 0.4405
6 V 0.9920 0.7500 0.9016
7 Mo 0.2180 0.7500 0.7528
8 Mo 0.7820 0.2500 0.2472
9 S 0.0186 0.2500 0.7490
10 S 0.1738 0.7500 0.0803
11 S 0.2123 0.2500 0.5873
12 S 0.3311 0.2500 0.9182
13 S 0.3541 0.2500 0.4085
14 S 0.4841 0.7500 0.7756
15 S 0.5159 0.2500 0.2244
16 S 0.6459 0.7500 0.5915
17 S 0.6689 0.7500 0.0818
18 S 0.7877 0.7500 0.4127
19 S 0.8262 0.2500 0.9197
20 S 0.9814 0.7500 0.2510

---

[2]
Density functional theory data (GGA-PBE) for crystalline Ce2Si7Pd12 at its relaxed geometry.

Results
E_form (uncorrected) (eV per atom): -0.783
Uncorrected energy (eV per atom): -6.12

abc: 9.9931 9.9931 3.9187
angles: 90.00 90.00 120.00
Element x y z (fractional)
1 Ce 0.3333 0.6667 0.2536
2 Ce 0.6667 0.3333 0.7464
3 Si 0.0000 0.0000 0.0000
4 Si 0.1160 0.4052 0.7502
5 Si 0.2892 0.8840 0.7502
6 Si 0.4052 0.2892 0.2498
7 Si 0.5948 0.7108 0.7502
8 Si 0.7108 0.1160 0.2498
9 Si 0.8840 0.5948 0.2498
10 Pd 0.0604 0.6195 0.7484
11 Pd 0.1112 0.8547 0.2508
12 Pd 0.1453 0.2565 0.2508
13 Pd 0.2565 0.1112 0.7492
14 Pd 0.3805 0.4409 0.7484
15 Pd 0.4409 0.0604 0.2516
16 Pd 0.5591 0.9396 0.7484
17 Pd 0.6195 0.5591 0.2516
18 Pd 0.7435 0.8888 0.2508
19 Pd 0.8547 0.7435 0.7492
20 Pd 0.8888 0.1453 0.7492
21 Pd 0.9396 0.3805 0.2516

---

[3]
Density functional theory data (GGA-PBE) for crystalline Np2SnRh5 at its relaxed geometry.

Results
Energy of formation from the pure elements (meV/atom): -468
Uncorrected energy (eV per atom): -8.80

abc: 5.8168 11.3852 4.2058
angles: 90.00 90.00 90.00
Element x y z (fractional)
1 Np 0.1775 0.1422 0.0000
2 Np 0.3225 0.6422 0.0000
3 Np 0.6775 0.3578 0.0000
4 Np 0.8225 0.8578 0.0000
5 Sn 0.0000 0.5000 0.5000
6 Sn 0.5000 0.0000 0.5000
7 Rh 0.0000 0.0000 0.5000
8 Rh 0.0695 0.7440 0.5000
9 Rh 0.2026 0.3873 0.0000
10 Rh 0.2974 0.8873 0.0000
11 Rh 0.4305 0.2440 0.5000
12 Rh 0.5000 0.5000 0.5000
13 Rh 0.5695 0.7560 0.5000
14 Rh 0.7026 0.1127 0.0000
15 Rh 0.7974 0.6127 0.0000
16 Rh 0.9305 0.2560 0.5000